The following is a GGA-PBE calculation of CeThIrRu after structural relaxation, from the Alexandria database.

The calculated formation energy comes out at -49 kJ/mol of atoms. For the calculated volume, the calculation gives 349 Å³ per cell.

The space group is F-43m (No. 216) and the conventional cell measures 7.038, 7.038 and 7.038 Å, with angles of 90.00, 90.00 and 90.00 degrees. Symmetry generates all atoms from Ce at (0.000, 0.000, 0.000), Th at (0.000, 0.000, 0.500), Ir at (0.250, 0.250, 0.750) and Ru at (0.250, 0.250, 0.250).